[1]
PrCoSi2Ag, optimized geometry, DFT PBE; ρ = 6.94 g cm⁻³; final energy = -5.557 eV/atom; crystal system = tetragonal
1.0
-2.077 2.077 5.044
2.077 -2.077 5.044
2.077 2.077 -5.044
Pr Co Si Ag
1 1 2 1
direct
0.000 0.000 0.000 Pr
0.750 0.250 0.500 Co
0.380 0.380 0.000 Si
0.620 0.620 0.000 Si
0.250 0.750 0.500 Ag

---

[2]
LiCd4S, optimized geometry, DFT PBE; ρ = 5.56 g cm⁻³; final energy = -1.599 eV/atom; crystal system = orthorhombic
1.0
4.360 -4.401 0.000
4.360 4.401 0.000
0.000 0.000 3.803
Li Cd S
1 4 1
direct
0.000 0.000 0.000 Li
0.199 0.801 0.500 Cd
0.279 0.279 0.000 Cd
0.721 0.721 0.000 Cd
0.801 0.199 0.500 Cd
0.500 0.500 0.500 S

---

[3]
Hf3GaTc2, optimized geometry, DFT PBE; ρ = 12.49 g cm⁻³; final energy = -9.482 eV/atom; crystal system = tetragonal
1.0
3.325 0.000 0.000
0.000 3.325 0.000
0.000 0.000 9.639
Hf Ga Tc
3 1 2
direct
0.000 0.000 0.000 Hf
0.000 0.000 0.325 Hf
0.000 0.000 0.675 Hf
0.500 0.500 0.500 Ga
0.500 0.500 0.172 Tc
0.500 0.500 0.828 Tc

---

[4]
Lu4TlSnC2, optimized geometry, DFT PBE; ρ = 10.30 g cm⁻³; final energy = -5.896 eV/atom; crystal system = hexagonal
1.0
3.529 0.000 0.000
-1.764 3.056 0.000
0.000 0.000 15.654
Lu Tl Sn C
4 1 1 2
direct
0.000 0.000 0.165 Lu
0.000 0.000 0.835 Lu
0.333 0.667 0.331 Lu
0.333 0.667 0.669 Lu
0.000 0.000 0.500 Tl
0.333 0.667 0.000 Sn
0.667 0.333 0.247 C
0.667 0.333 0.753 C

---

[5]
Gd2ScAl3Cu2Ni, optimized geometry, DFT PBE; ρ = 6.28 g cm⁻³; final energy = -4.922 eV/atom; crystal system = orthorhombic
1.0
3.971 0.000 0.000
0.000 6.047 3.449
0.000 -6.047 3.449
Gd Sc Al Cu Ni
2 1 3 2 1
direct
0.000 0.206 0.794 Gd
0.000 0.794 0.206 Gd
0.000 0.613 0.613 Sc
0.500 0.215 0.442 Al
0.500 0.442 0.215 Al
0.500 0.972 0.972 Al
0.500 0.545 0.862 Cu
0.500 0.862 0.545 Cu
0.000 0.217 0.217 Ni

---

[6]
Sm3Ni2Sn3Ir, optimized geometry, DFT PBE; ρ = 9.59 g cm⁻³; final energy = -5.824 eV/atom; crystal system = hexagonal
1.0
7.389 0.000 0.000
-3.695 6.399 0.000
0.000 0.000 4.090
Sm Ni Sn Ir
3 2 3 1
direct
0.000 0.412 0.000 Sm
0.412 0.000 0.000 Sm
0.588 0.588 0.000 Sm
0.333 0.667 0.500 Ni
0.667 0.333 0.500 Ni
0.000 0.742 0.500 Sn
0.258 0.258 0.500 Sn
0.742 0.000 0.500 Sn
0.000 0.000 0.000 Ir

---

[7]
CdP, optimized geometry, DFT PBE; E above lowest polymorph = 0.266 eV per formula unit; ρ = 5.89 g cm⁻³; crystal system = cubic
1.0
0.000 2.723 2.723
2.723 0.000 2.723
2.723 2.723 0.000
Cd P
1 1
direct
0.000 0.000 0.000 Cd
0.500 0.500 0.500 P

---

[8]
YErGa2Ir4, optimized geometry, DFT PBE; E above lowest polymorph = 0.000 eV per formula unit; ρ = 13.23 g cm⁻³; crystal system = hexagonal
1.0
4.330 0.000 0.000
-2.165 3.750 0.000
0.000 0.000 8.999
Y Er Ga Ir
1 1 2 4
direct
0.000 0.000 0.000 Y
0.333 0.667 0.500 Er
0.667 0.333 0.252 Ga
0.667 0.333 0.748 Ga
0.000 0.000 0.338 Ir
0.000 0.000 0.662 Ir
0.333 0.667 0.173 Ir
0.333 0.667 0.827 Ir

---

[9]
CdCoReSn, optimized geometry, DFT PBE; E above lowest polymorph = 0.000 eV per formula unit; ρ = 12.06 g cm⁻³; crystal system = cubic
1.0
0.000 3.200 3.200
3.200 0.000 3.200
3.200 3.200 0.000
Cd Co Re Sn
1 1 1 1
direct
0.000 0.000 0.000 Cd
0.750 0.750 0.750 Co
0.250 0.250 0.250 Re
0.500 0.500 0.500 Sn

---

[10]
TbTmPbC, optimized geometry, DFT PBE; ρ = 9.97 g cm⁻³; final energy = -6.011 eV/atom; crystal system = hexagonal
1.0
3.620 0.000 0.000
-1.810 3.135 0.000
0.000 0.000 16.049
Tb Tm Pb C
2 2 2 2
direct
0.333 0.667 0.000 Tb
0.667 0.333 0.500 Tb
0.333 0.667 0.335 Tm
0.667 0.333 0.835 Tm
0.333 0.667 0.669 Pb
0.667 0.333 0.169 Pb
0.000 0.000 0.416 C
0.000 0.000 0.916 C

---

[11]
Nb3N4, optimized geometry, DFT PBE; ρ = 5.06 g cm⁻³; final energy = -9.688 eV/atom; crystal system = hexagonal
1.0
8.585 0.000 0.000
-4.292 7.434 0.000
0.000 0.000 3.442
Nb N
6 8
direct
0.164 0.760 0.250 Nb
0.240 0.404 0.250 Nb
0.404 0.164 0.750 Nb
0.596 0.836 0.250 Nb
0.760 0.596 0.750 Nb
0.836 0.240 0.750 Nb
0.020 0.685 0.750 N
0.315 0.334 0.750 N
0.333 0.667 0.250 N
0.334 0.020 0.250 N
0.666 0.980 0.750 N
0.667 0.333 0.750 N
0.685 0.666 0.250 N
0.980 0.315 0.250 N

---

[12]
Dy3Ho2Al3, optimized geometry, DFT PBE; E above lowest polymorph = 0.000 eV per formula unit; ρ = 7.37 g cm⁻³; crystal system = monoclinic
1.0
6.454 0.000 0.000
0.000 5.131 0.000
-2.090 0.000 6.114
Dy Ho Al
3 2 3
direct
0.000 0.000 0.000 Dy
0.234 0.500 0.687 Dy
0.486 0.000 0.975 Dy
0.500 0.000 0.479 Ho
0.780 0.500 0.254 Ho
0.000 0.000 0.499 Al
0.280 0.500 0.189 Al
0.738 0.500 0.751 Al

---

- Which of these has the lowest ρ?
  Nb3N4

---

- What is the ρ in the fifth record?
  6.28 g cm⁻³

---

- ρ of number 6 (Sm3Ni2Sn3Ir)?
  9.59 g cm⁻³

---

- Look up the ρ of the third one.
  12.49 g cm⁻³